1.
! ScCo3Pt GGA-PBE optimized geometry; values from VASP
! * N(E_F): 6.1 states/eV/cell
! * formation enthalpy at 0 K: 787.1 meV/atom
! * SG: Pm-3m, No. 221
! * polymorph energy (0 for the lowest one): 0.000 eV per atom
! * total DFT energy (no corrections): -29.8 eV per cell
&SYSTEM
  ibrav = 0, nat = 5, ntyp = 3
/
ATOMIC_SPECIES
Sc 44.96 Sc.upf
Co 58.93 Co.upf
Pt 195.08 Pt.upf
ATOMIC_POSITIONS crystal
Sc 0.0000 0.0000 0.0000
Co 0.0000 0.5000 0.5000
Co 0.5000 0.0000 0.5000
Co 0.5000 0.5000 0.0000
Pt 0.5000 0.5000 0.5000
CELL_PARAMETERS angstrom
4.5813 0.0000 0.0000
0.0000 4.5813 0.0000
0.0000 0.0000 4.5813

2.
! Sc2CoSi4Pt3 GGA-PBE optimized geometry; values from VASP
! * N(E_F): 5.1 states/eV/cell
! * SG: P-4m2, No. 115
! * energy relative to the elements, uncorrected: -930 meV per atom
! * total DFT energy (no corrections): -68.9 eV per cell
&SYSTEM
  ibrav = 0, nat = 10, ntyp = 4
/
ATOMIC_SPECIES
Sc 44.96 Sc.upf
Co 58.93 Co.upf
Si 28.09 Si.upf
Pt 195.08 Pt.upf
ATOMIC_POSITIONS crystal
Sc 0.0000 0.5000 0.2284
Sc 0.5000 0.0000 0.7716
Co 0.5000 0.5000 0.0000
Si 0.0000 0.0000 0.5000
Si 0.0000 0.5000 0.8668
Si 0.5000 0.0000 0.1332
Si 0.5000 0.5000 0.5000
Pt 0.0000 0.0000 0.0000
Pt 0.0000 0.5000 0.6417
Pt 0.5000 0.0000 0.3583
CELL_PARAMETERS angstrom
3.8723 0.0000 0.0000
0.0000 3.8723 0.0000
0.0000 0.0000 10.5200

3.
! SmScCoPt GGA-PBE optimized geometry; values from VASP
! * N(E_F): 1.8 states/eV/cell
! * formation enthalpy at 0 K: -598.5 meV/atom
! * SG: F-43m, No. 216
! * total DFT energy (no corrections): -26.6 eV per cell
&SYSTEM
  ibrav = 0, nat = 4, ntyp = 4
/
ATOMIC_SPECIES
Sm 150.36 Sm.upf
Sc 44.96 Sc.upf
Co 58.93 Co.upf
Pt 195.08 Pt.upf
ATOMIC_POSITIONS crystal
Sm 0.0000 0.0000 0.0000
Sc 0.5000 0.5000 0.5000
Co 0.7500 0.7500 0.7500
Pt 0.2500 0.2500 0.2500
CELL_PARAMETERS angstrom
0.0000 3.3689 3.3689
3.3689 0.0000 3.3689
3.3689 3.3689 0.0000